A relaxed structure of TaOsSe2. Source: the Alexandria database, functional GGA-PBE.

The structure in POSCAR format:
```
TaOsSe2
1.0
5.3505 0.0000 0.0000
0.0000 6.2582 0.0000
0.0000 0.0000 4.3024
Ta Os Se
2 2 4
direct
0.0000 0.0000 0.0000
0.5000 0.5000 0.0000
0.0000 0.5000 0.0000
0.5000 0.0000 0.0000
0.0000 0.2580 0.5000
0.0000 0.7420 0.5000
0.5000 0.2420 0.5000
0.5000 0.7580 0.5000
```

Properties
Density = 12.197 g/cm3
Formation energy (no corrections) = 0.48 eV per atom